No. 1
LaPr7Dy12: optimized geometry, GGA-PBE.

Calculated values
- ΔE to the lowest computed polymorph (meV/atom) = 385
- formation energy from the elements (kJ/mol of atoms) = 58.6
- symmetry = Im-3m
- M_tot (Bohr magnetons per cell) = 0.00
- V (Å³ per cell) = 740.35

```
LaPr7Dy12
1.0
9.306 0.000 -3.290
-4.653 8.060 -3.290
0.000 0.000 9.871
Pr Dy La
7 12 1
Direct
0.000 0.500 0.000
0.500 0.000 0.500
0.000 0.500 0.500
0.500 0.000 0.000
0.500 0.500 0.500
0.500 0.500 0.000
0.000 0.000 0.500
0.251 0.000 0.748
0.748 0.251 0.000
0.251 0.503 0.252
0.503 0.252 0.251
0.749 0.497 0.748
0.252 0.749 0.000
0.252 0.251 0.503
0.000 0.748 0.251
0.749 0.000 0.252
0.748 0.749 0.497
0.497 0.748 0.749
0.000 0.252 0.749
0.000 0.000 0.000
```

=====

No. 2
La4Pr3Dy2: optimized geometry, GGA-PBE.

Calculated values
- formation energy from the elements (kJ/mol of atoms) = 1.9
- symmetry = C2/m
- M_tot (Bohr magnetons per cell) = 0.00
- V (Å³ per cell) = 319.88

```
La4Pr3Dy2
1.0
5.246 0.000 0.000
0.000 8.178 0.727
-2.623 -3.122 7.179
La Pr Dy
4 3 2
Direct
0.223 0.330 0.446
0.777 0.670 0.554
0.555 0.330 0.110
0.445 0.670 0.890
0.113 0.670 0.225
0.887 0.330 0.775
0.000 0.000 0.000
0.332 0.001 0.664
0.668 0.999 0.336
```

=====

No. 3
La8Pr3Dy2: optimized geometry, GGA-PBE.

Calculated values
- ΔE to the lowest computed polymorph (meV/atom) = 44
- formation energy from the elements (kJ/mol of atoms) = 17.5
- symmetry = C2/m
- M_tot (Bohr magnetons per cell) = 0.00
- V (Å³ per cell) = 479.44

```
La8Pr3Dy2
1.0
5.918 0.000 0.638
0.000 7.759 0.000
-1.116 -3.880 10.320
Pr La Dy
3 8 2
Direct
0.500 0.000 0.000
0.000 0.717 0.000
0.000 0.283 0.000
0.500 0.811 0.213
0.000 0.137 0.273
0.001 0.676 0.352
0.500 0.189 0.787
0.500 0.402 0.213
0.999 0.324 0.648
0.000 0.863 0.727
0.500 0.598 0.787
0.501 0.758 0.516
0.499 0.242 0.484
```

=====

No. 4
La2PrDy6: optimized geometry, GGA-PBE.

Calculated values
- ΔE to the lowest computed polymorph (meV/atom) = 63
- formation energy from the elements (kJ/mol of atoms) = 16.4
- symmetry = P-31m
- M_tot (Bohr magnetons per cell) = 0.00
- V (Å³ per cell) = 301.93

```
La2PrDy6
1.0
3.419 0.000 0.000
0.000 10.097 0.000
0.000 -5.049 8.745
La Dy Pr
2 6 1
Direct
0.500 0.333 0.667
0.500 0.667 0.333
0.773 0.334 0.334
0.227 0.334 0.000
0.773 0.666 0.000
0.773 0.000 0.666
0.227 0.666 0.666
0.227 0.000 0.334
0.000 0.000 0.000
```

=====

No. 5
La2PrDy2: optimized geometry, GGA-PBE.

Calculated values
- ΔE to the lowest computed polymorph (meV/atom) = 0
- formation energy from the elements (kJ/mol of atoms) = 19.2
- symmetry = P6_3/mmc
- M_tot (Bohr magnetons per cell) = 0.00
- V (Å³ per cell) = 355.80

```
La2PrDy2
1.0
5.783 0.000 0.000
-2.891 5.008 0.000
0.000 0.000 12.285
Dy La Pr
4 4 2
Direct
0.000 0.000 0.000
0.333 0.667 0.250
0.000 0.000 0.500
0.667 0.333 0.750
0.667 0.333 0.399
0.333 0.667 0.601
0.667 0.333 0.101
0.333 0.667 0.899
0.000 0.000 0.750
0.000 0.000 0.250
```

=====

No. 6
La6Pr12Dy: optimized geometry, GGA-PBE.

Calculated values
- ΔE to the lowest computed polymorph (meV/atom) = 0
- formation energy from the elements (kJ/mol of atoms) = 10.5
- symmetry = R-3
- M_tot (Bohr magnetons per cell) = 0.00
- V (Å³ per cell) = 695.54

```
La6Pr12Dy
1.0
-3.744 -5.888 -5.461
-4.758 -3.284 6.714
-6.538 5.713 -1.766
Pr La Dy
12 6 1
Direct
0.218 0.468 0.564
0.564 0.218 0.468
0.638 0.979 0.816
0.184 0.362 0.021
0.468 0.564 0.218
0.816 0.638 0.979
0.436 0.782 0.532
0.021 0.184 0.362
0.532 0.436 0.782
0.979 0.816 0.638
0.782 0.532 0.436
0.362 0.021 0.184
0.735 0.905 0.299
0.265 0.095 0.701
0.299 0.735 0.905
0.701 0.265 0.095
0.095 0.701 0.265
0.905 0.299 0.735
0.000 0.000 0.000
```

=====

No. 7
La5Pr3Dy2: optimized geometry, GGA-PBE.

Calculated values
- formation energy from the elements (kJ/mol of atoms) = 13.9
- symmetry = C2/c
- M_tot (Bohr magnetons per cell) = 0.00
- V (Å³ per cell) = 722.28

```
La5Pr3Dy2
1.0
-7.675 6.188 -2.905
-3.232 -1.379 -9.694
0.460 -7.477 8.686
Pr La Dy
6 10 4
Direct
0.768 0.018 0.037
0.032 0.776 0.250
0.282 0.526 0.750
0.232 0.982 0.963
0.718 0.474 0.250
0.968 0.224 0.750
0.026 0.776 0.552
0.373 0.119 0.753
0.627 0.881 0.247
0.120 0.366 0.247
0.880 0.634 0.753
0.272 0.522 0.045
0.520 0.270 0.539
0.480 0.730 0.461
0.728 0.478 0.955
0.974 0.224 0.448
0.474 0.718 0.751
0.222 0.967 0.249
0.778 0.033 0.751
0.526 0.282 0.249
```

=====

No. 8
La2Pr12Dy: optimized geometry, GGA-PBE.

Calculated values
- formation energy from the elements (kJ/mol of atoms) = 28.4
- symmetry = P4/nbm
- M_tot (Bohr magnetons per cell) = 0.00
- V (Å³ per cell) = 1152.40

```
La2Pr12Dy
1.0
-2.756 -0.185 6.097
5.447 -3.087 2.368
10.553 22.810 5.462
Pr La Dy
24 4 2
Direct
0.688 0.188 0.888
0.000 0.000 0.213
0.812 0.312 0.112
0.000 0.000 0.337
0.668 0.832 0.562
0.188 0.312 0.888
0.312 0.812 0.888
0.000 0.000 0.663
0.832 0.332 0.562
0.832 0.668 0.438
0.168 0.668 0.562
0.312 0.188 0.112
0.332 0.832 0.438
0.500 0.500 0.337
0.500 0.500 0.787
0.500 0.500 0.663
0.688 0.812 0.112
0.332 0.168 0.562
0.168 0.332 0.438
0.668 0.168 0.438
0.812 0.688 0.888
0.000 0.000 0.787
0.188 0.688 0.112
0.500 0.500 0.213
0.500 0.000 0.736
0.000 0.500 0.264
0.000 0.500 0.736
0.500 0.000 0.264
0.000 0.500 0.000
0.500 0.000 0.000
```

=====

No. 9
LaPr12Dy2: optimized geometry, GGA-PBE.

Calculated values
- formation energy from the elements (kJ/mol of atoms) = 28.4
- symmetry = P4/nbm
- M_tot (Bohr magnetons per cell) = 0.00
- V (Å³ per cell) = 1138.59

```
LaPr12Dy2
1.0
6.618 0.000 0.000
0.000 6.618 0.000
0.000 0.000 25.996
Pr Dy La
24 4 2
Direct
0.168 0.668 0.562
0.818 0.318 0.884
0.500 0.500 0.217
0.182 0.318 0.116
0.168 0.332 0.438
0.000 0.000 0.662
0.682 0.182 0.116
0.318 0.818 0.116
0.668 0.832 0.562
0.668 0.168 0.438
0.500 0.500 0.338
0.000 0.000 0.338
0.500 0.500 0.662
0.182 0.682 0.884
0.000 0.000 0.217
0.332 0.832 0.438
0.832 0.332 0.562
0.332 0.168 0.562
0.818 0.682 0.116
0.318 0.182 0.884
0.500 0.500 0.783
0.832 0.668 0.438
0.682 0.818 0.884
0.000 0.000 0.783
0.500 0.000 0.726
0.500 0.000 0.274
0.000 0.500 0.726
0.000 0.500 0.274
0.000 0.500 0.000
0.500 0.000 0.000
```

=====

No. 10
La6Pr8Dy: optimized geometry, GGA-PBE.

Calculated values
- formation energy from the elements (kJ/mol of atoms) = 9.2
- symmetry = R-3
- M_tot (Bohr magnetons per cell) = 0.00
- V (Å³ per cell) = 548.08

```
La6Pr8Dy
1.0
9.422 0.000 0.000
4.711 8.160 0.000
4.711 2.720 7.128
Pr La Dy
8 6 1
Direct
0.578 0.578 0.267
0.113 0.761 0.419
0.239 0.294 0.581
0.706 0.113 0.419
0.294 0.887 0.581
0.761 0.706 0.419
0.887 0.239 0.581
0.422 0.422 0.733
0.462 0.905 0.873
0.240 0.538 0.127
0.538 0.095 0.127
0.905 0.760 0.873
0.095 0.240 0.127
0.760 0.462 0.873
0.000 0.000 0.000
```

=====

No. 11
La2PrDy: optimized geometry, GGA-PBE.

Calculated values
- ΔE to the lowest computed polymorph (meV/atom) = 79
- formation energy from the elements (kJ/mol of atoms) = 8.8
- symmetry = P4/mmm
- M_tot (Bohr magnetons per cell) = 0.00
- V (Å³ per cell) = 142.09

```
La2PrDy
1.0
-3.443 -2.134 1.390
-0.821 -1.283 -4.003
4.360 -6.303 1.126
Dy La Pr
1 2 1
Direct
0.500 0.500 0.000
0.000 0.000 0.764
0.000 0.000 0.236
0.500 0.500 0.500
```

=====

No. 12
LaPr7Dy3: optimized geometry, GGA-PBE.

Calculated values
- ΔE to the lowest computed polymorph (meV/atom) = 0
- formation energy from the elements (kJ/mol of atoms) = 17.8
- symmetry = P3m1
- M_tot (Bohr magnetons per cell) = 0.00
- V (Å³ per cell) = 404.05

```
LaPr7Dy3
1.0
8.743 0.000 0.000
0.000 7.305 0.000
0.000 -3.652 6.326
Pr Dy La
7 3 1
Direct
0.106 0.667 0.834
0.125 0.667 0.333
0.461 0.333 0.166
0.461 0.834 0.166
0.106 0.166 0.333
0.461 0.834 0.667
0.106 0.166 0.834
0.784 0.500 0.000
0.784 0.500 0.500
0.784 0.000 0.500
0.440 0.333 0.667
```

=====

No. 13
LaPrDy: optimized geometry, GGA-PBE.

Calculated values
- ΔE to the lowest computed polymorph (meV/atom) = 1
- formation energy from the elements (kJ/mol of atoms) = 2.0
- symmetry = P3m1
- M_tot (Bohr magnetons per cell) = 0.00
- V (Å³ per cell) = 104.74

```
LaPrDy
1.0
-2.003 -2.262 -2.072
3.348 -1.003 1.098
-3.537 -3.674 7.428
Dy La Pr
1 1 1
Direct
0.667 0.333 0.332
0.333 0.667 0.660
0.000 0.000 0.007
```

=====

No. 14
La5Pr12Dy2: optimized geometry, GGA-PBE.

Calculated values
- ΔE to the lowest computed polymorph (meV/atom) = 0
- formation energy from the elements (kJ/mol of atoms) = 10.1
- symmetry = Immm
- M_tot (Bohr magnetons per cell) = 0.00
- V (Å³ per cell) = 702.49

```
La5Pr12Dy2
1.0
5.130 0.080 1.267
0.487 11.141 8.353
-0.705 2.179 13.744
Dy Pr La
2 12 5
Direct
0.000 0.771 0.229
0.000 0.229 0.771
0.406 0.352 0.837
0.406 0.837 0.352
0.594 0.163 0.648
0.196 0.059 0.549
0.099 0.901 0.901
0.093 0.407 0.407
0.907 0.593 0.593
0.594 0.648 0.163
0.804 0.941 0.451
0.901 0.099 0.099
0.804 0.451 0.941
0.196 0.549 0.059
0.301 0.199 0.199
0.699 0.801 0.801
0.500 0.000 0.000
0.699 0.302 0.302
0.301 0.698 0.698
```

=====

No. 15
La4Pr2Dy: optimized geometry, GGA-PBE.

Calculated values
- ΔE to the lowest computed polymorph (meV/atom) = 174
- formation energy from the elements (kJ/mol of atoms) = 18.3
- symmetry = Imma
- M_tot (Bohr magnetons per cell) = 0.00
- V (Å³ per cell) = 511.35

```
La4Pr2Dy
1.0
-3.237 -5.202 3.377
5.763 -4.761 5.438
-2.942 2.565 8.379
La Pr Dy
8 4 2
Direct
0.854 0.151 0.142
0.146 0.849 0.858
0.225 0.244 0.744
0.854 0.642 0.651
0.775 0.756 0.256
0.146 0.358 0.349
0.213 0.756 0.256
0.787 0.244 0.744
0.718 0.032 0.532
0.500 0.000 0.000
0.282 0.968 0.468
0.500 0.500 0.500
0.500 0.500 0.000
0.000 0.500 0.000
```

=====

No. 16
La2Pr6Dy: optimized geometry, GGA-PBE.

Calculated values
- ΔE to the lowest computed polymorph (meV/atom) = 486
- formation energy from the elements (kJ/mol of atoms) = 55.5
- symmetry = P4_2/mnm
- M_tot (Bohr magnetons per cell) = 0.00
- V (Å³ per cell) = 737.26

```
La2Pr6Dy
1.0
-2.436 7.871 -1.005
-7.589 -2.004 2.700
2.988 2.206 10.035
Pr Dy La
12 2 4
Direct
0.739 0.739 0.000
0.734 0.734 0.331
0.239 0.761 0.500
0.734 0.734 0.669
0.266 0.266 0.669
0.766 0.234 0.831
0.266 0.266 0.331
0.261 0.261 0.000
0.766 0.234 0.169
0.761 0.239 0.500
0.234 0.766 0.169
0.234 0.766 0.831
0.500 0.500 0.500
0.000 0.000 0.000
0.500 0.500 0.853
0.000 0.000 0.647
0.000 0.000 0.353
0.500 0.500 0.147
```

=====

No. 17
La8Pr3Dy3: optimized geometry, GGA-PBE.

Calculated values
- formation energy from the elements (kJ/mol of atoms) = 9.6
- symmetry = Immm
- M_tot (Bohr magnetons per cell) = 0.00
- V (Å³ per cell) = 495.54

```
La8Pr3Dy3
1.0
5.649 0.000 1.135
2.780 9.526 0.788
1.061 -3.265 9.344
Pr La Dy
3 8 3
Direct
0.195 0.805 0.805
0.805 0.195 0.195
0.500 0.500 0.500
0.838 0.555 0.769
0.344 0.887 0.424
0.162 0.445 0.231
0.838 0.769 0.555
0.656 0.113 0.576
0.656 0.576 0.113
0.162 0.231 0.445
0.344 0.424 0.887
0.000 0.822 0.178
0.000 0.178 0.822
0.500 0.000 0.000
```

=====

No. 18
La6Pr3Dy: optimized geometry, GGA-PBE.

Calculated values
- ΔE to the lowest computed polymorph (meV/atom) = 118
- formation energy from the elements (kJ/mol of atoms) = 21.9
- symmetry = C2/m
- M_tot (Bohr magnetons per cell) = 0.00
- V (Å³ per cell) = 364.76

```
La6Pr3Dy
1.0
6.419 0.000 -2.605
-1.743 12.136 -4.295
-1.167 -2.861 6.335
Dy La Pr
1 6 3
Direct
0.500 0.500 0.000
0.709 0.675 0.862
0.327 0.026 0.653
0.154 0.675 0.862
0.291 0.325 0.138
0.846 0.325 0.138
0.673 0.974 0.347
0.000 0.000 0.000
0.207 0.686 0.414
0.793 0.314 0.586
```